Material: K3Rb2OsO6
Method: DFT, PBE
State: optimized geometry

Structure (extended XYZ):
```
12
Lattice="6.651 0.000 -0.027 -3.324 5.761 -0.027 -1.133 -1.962 5.871" Properties=species:S:1:pos:R:3 pbc="T T T"
K -2.340 3.884 2.909
K 4.534 -0.086 2.909
K 1.097 1.899 2.909
Rb -0.015 3.850 -0.027
Rb 3.342 1.911 -0.027
Os 0.000 0.000 0.000
O 2.991 2.448 4.673
O 2.532 4.384 1.033
O -0.798 1.351 1.144
O 0.625 3.814 4.673
O -0.338 -0.585 4.784
O 1.569 -0.016 1.144
```

Computed properties:
* symmetry: C2/m (12)
* magnetization: 1.04 μB per cell



Material: K3RbOs2O9
Method: DFT, PBE
State: optimized geometry

Structure (extended XYZ):
```
15
Lattice="-3.281 -3.119 3.539 3.467 -2.619 -3.759 6.328 -0.020 5.849" Properties=species:S:1:pos:R:3 pbc="T T T"
K 5.885 -2.800 2.987
K 0.000 0.000 0.000
K 0.630 -2.958 2.641
Rb 3.164 -0.010 2.925
Os 2.095 -2.789 -0.516
Os 4.419 -2.969 6.144
O 2.666 -3.044 6.601
O 4.262 -4.250 4.870
O 4.176 -1.608 4.972
O 2.338 -4.150 0.657
O 2.252 -1.508 0.759
O 3.849 -2.714 -0.972
O -1.640 -1.560 1.769
O 1.733 -1.310 -1.880
O 0.093 -2.869 -0.110
```

Computed properties:
* symmetry: P-3m1 (164)
* magnetization: 0.00 μB per cell



no.,formation energy without anion corrections (eV/atom)
1,-1.350
2,-1.318